VASP calculation (PBE) on an optimized crystal structure of Gd2Zn14Co3.

Results
Calculated total energy ... -2.783 eV/atom
Calculated formation energy ... -0.239 eV/atom
Space-group type ... R-3m, No. 166

The structure in POSCAR format:
```
Gd2Zn14Co3
1.0
-4.3963 2.5382 4.3014
0.0000 5.0764 -4.3014
-4.3963 -2.5382 -4.3014
Zn Co Gd
14 3 2
Direct
0.8942 0.1058 0.1058
0.6530 0.3470 0.8545
0.7078 0.7078 0.0000
0.0000 0.7078 0.2922
0.8545 0.6530 0.6530
0.0000 0.2922 0.7078
0.7078 0.0000 0.7078
0.6530 0.8545 0.3470
0.3470 0.1455 0.6530
0.2922 0.2922 0.0000
0.3470 0.6530 0.1455
0.1058 0.8942 0.8942
0.2922 0.0000 0.2922
0.1455 0.3470 0.3470
0.5000 0.0000 0.0000
0.0000 0.5000 0.0000
0.0000 0.0000 0.5000
0.6640 0.3360 0.3360
0.3360 0.6640 0.6640
```